# 1
This record from Alexandria describes a geometry-optimized K2CuPdO4 structure. The functional is PBE.

Structure (POSCAR):
```
K2CuPdO4
1.0
-2.4400 3.8043 -3.5674
-6.8856 -1.6689 -1.7168
-4.2636 6.8691 5.5949
O K Pd Cu
8 4 2 2
Direct
0.6363 0.1884 0.0025
0.9229 0.6884 0.5025
0.1137 0.3116 0.4975
0.3613 0.8116 0.0025
0.5747 0.3116 0.5025
0.8271 0.8116 0.9975
0.3887 0.6884 0.4975
0.1753 0.1884 0.9975
0.1726 0.0000 0.6547
0.9226 0.5000 0.1547
0.8274 0.0000 0.3453
0.5774 0.5000 0.8453
0.0000 0.0000 0.0000
0.7500 0.5000 0.5000
0.5000 0.0000 0.0000
0.2500 0.5000 0.5000
```

mass density: 2.86 g/cm3
space group: No. 70
raw total energy: -4.735 eV/atom

---

# 2
This record from Alexandria describes a geometry-optimized Ba2InOs structure. The functional is PBE.

Structure (POSCAR):
```
Ba2InOs
1.0
10.5879 0.0116 0.0069
9.8542 3.8729 0.0069
9.8542 1.8725 3.3901
Ba Os In
2 1 1
Direct
0.0147 0.0147 0.0147
0.4853 0.4853 0.4853
0.7500 0.7500 0.7500
0.2500 0.2500 0.2500
```

mass density: 6.96 g/cm3
ΔE_f: 0.6937 eV per atom
space group: No. 166
raw total energy: -3.760 eV/atom